First-principles (PBE) data for a relaxed structure of Tm2BiRu, as listed in Alexandria.

```
Tm2BiRu
1.0
-1.228 1.019 3.000
-2.979 -1.467 -0.722
2.633 -7.055 3.474
Tm Bi Ru
2 1 1
direct
0.000 0.000 0.196
0.000 0.000 0.804
0.500 0.500 0.500
0.500 0.500 0.000
```

Values from the calculation:
The size of the total moment is 0.0 μB/f.u. The calculation puts the calculated formation energy at -570 meV/atom. As for the energy above the most stable polymorph in this dataset: 0.0 meV/atom. For the total energy, the calculation gives -6.0946 eV per atom.